1.
# Tl4GeAu4 (GGA-PBE, optimized geometry)
# DFT formation energy: 34 meV/atom
# Volume: 26.744 A^3/atom
# Magnetic moment: 0.000 μB per formula unit
data_Tl4GeAu4
_chemical_formula_sum 'Tl8 Ge2 Au8'
_symmetry_space_group_name_H-M 'I -4 2 m'
_symmetry_Int_Tables_number 121
_symmetry_space_group_name_Hall 'I -4 2'
_cell_length_a 6.344
_cell_length_b 6.344
_cell_length_c 11.961
_cell_angle_alpha 90.00
_cell_angle_beta 90.00
_cell_angle_gamma 90.00
loop_
_atom_site_label
_atom_site_fract_x
_atom_site_fract_y
_atom_site_fract_z
Tl1 0.200 0.200 0.144
Ge1 0.000 0.000 0.500
Au1 0.241 0.241 0.386

***

2.
# RbZnI2Br (GGA-PBE, optimized geometry)
# Volume: 35.671 A^3/atom
# Formation energy without anion corrections: -20.83 kcal/mol of atoms
# Magnetic moment: 0.000 μB per formula unit
data_RbZnI2Br
_chemical_formula_sum 'Rb1 Zn1 I2 Br1'
_symmetry_space_group_name_H-M 'P 4/m m m'
_symmetry_Int_Tables_number 123
_symmetry_space_group_name_Hall '-P 4 2'
_cell_length_a 5.794
_cell_length_b 5.794
_cell_length_c 5.314
_cell_angle_alpha 90.00
_cell_angle_beta 90.00
_cell_angle_gamma 90.00
loop_
_atom_site_label
_atom_site_fract_x
_atom_site_fract_y
_atom_site_fract_z
Rb1 0.000 0.000 0.000
Zn1 0.500 0.500 0.500
I1 0.000 0.500 0.500
Br1 0.500 0.500 0.000

***

3.
# SrTaO2F (GGA-PBE, optimized geometry)
# Volume: 14.392 A^3/atom
# Formation energy without anion corrections: -56.24 kcal/mol of atoms
# Magnetic moment: 0.000 μB per formula unit
data_SrTaO2F
_chemical_formula_sum 'Sr1 Ta1 O2 F1'
_symmetry_space_group_name_H-M 'P 4/m m m'
_symmetry_Int_Tables_number 123
_symmetry_space_group_name_Hall '-P 4 2'
_cell_length_a 4.093
_cell_length_b 4.093
_cell_length_c 4.295
_cell_angle_alpha 90.00
_cell_angle_beta 90.00
_cell_angle_gamma 90.00
loop_
_atom_site_label
_atom_site_fract_x
_atom_site_fract_y
_atom_site_fract_z
Sr1 0.000 0.000 0.000
Ta1 0.500 0.500 0.500
O1 0.000 0.500 0.500
F1 0.500 0.500 0.000

***

4.
# YRe2Pb (GGA-PBE, optimized geometry)
# DFT formation energy: 532 meV/atom
# Volume: 21.170 A^3/atom
# Magnetic moment: 0.000 μB per formula unit
data_YRe2Pb
_chemical_formula_sum 'Y3 Re6 Pb3'
_symmetry_space_group_name_H-M 'R 3 m'
_symmetry_Int_Tables_number 160
_symmetry_space_group_name_Hall 'R 3 -2"'
_cell_length_a 3.2152
_cell_length_b 3.2152
_cell_length_c 28.3765
_cell_angle_alpha 90.00
_cell_angle_beta 90.00
_cell_angle_gamma 120.00
loop_
_atom_site_label
_atom_site_fract_x
_atom_site_fract_y
_atom_site_fract_z
Y1 0.0000 0.0000 0.0000
Re1 0.0000 0.0000 0.4779
Re2 0.0000 0.0000 0.7495
Pb1 0.0000 0.0000 0.2304

***

> Which of these has the lowest volume?

SrTaO2F